12
Lattice="3.823 0.000 0.000 0.000 3.823 0.000 0.000 0.000 17.132" Properties=species:S:1:pos:R:3 comment="DyAsS | Alexandria via LeMat-Bulk | PBE | optimized geometry" volume_a3_per_atom=20.9 dos_at_fermi_per_ev_fu=0.484 e_form_raw_ev_per_fu=-4.617 e_tot_ev_per_atom=-6.00 pbc="T T T"
Dy 0.000 0.000 2.509
Dy 0.000 0.000 14.623
Dy 1.911 1.911 6.057
Dy 1.911 1.911 11.075
As 0.000 1.911 0.000
As 0.000 1.911 8.566
As 1.911 0.000 0.000
As 1.911 0.000 8.566
S 0.000 0.000 5.355
S 0.000 0.000 11.777
S 1.911 1.911 3.211
S 1.911 1.911 13.921


8
Lattice="5.602 0.000 0.000 0.000 5.602 0.000 0.000 0.000 5.602" Properties=species:S:1:pos:R:3 comment="Dy4AsS3 | Alexandria via LeMat-Bulk | PBE | optimized geometry" volume_a3_per_atom=22.0 dos_at_fermi_per_ev_fu=1.430 e_form_raw_ev_per_fu=-15.217 e_tot_ev_per_atom=-6.33 pbc="T T T"
Dy 0.000 0.000 0.000
Dy 0.000 2.801 2.801
Dy 2.801 0.000 2.801
Dy 2.801 2.801 0.000
As 2.801 2.801 2.801
S 0.000 0.000 2.801
S 0.000 2.801 0.000
S 2.801 0.000 0.000


10
Lattice="3.331 1.923 6.567 -3.331 1.923 6.567 0.000 -3.846 6.567" Properties=species:S:1:pos:R:3 comment="DyAsS3 | Alexandria via LeMat-Bulk | PBE | optimized geometry" volume_a3_per_atom=25.2 e_form_raw_ev_per_fu=-4.889 e_tot_ev_per_atom=-5.30 pbc="T T T"
Dy 0.000 0.000 3.091
Dy 0.000 0.000 16.609
As 0.000 0.000 7.446
As 0.000 0.000 12.255
S -1.177 -1.818 8.304
S -2.162 0.110 11.396
S -0.986 1.928 8.304
S 0.986 -1.928 11.396
S 2.162 -0.110 8.304
S 1.177 1.818 11.396


80
Lattice="-7.759 7.759 7.759 7.759 -7.759 7.759 7.759 7.759 -7.759" Properties=species:S:1:pos:R:3 comment="Dy3As5S12 | Alexandria via LeMat-Bulk | PBE | optimized geometry" volume_a3_per_atom=23.4 dos_at_fermi_per_ev_fu=0.257 e_form_raw_ev_per_fu=-13.703 e_tot_ev_per_atom=-5.01 pbc="T T T"
Dy 3.879 1.940 0.000
Dy 7.759 3.879 -1.940
Dy 1.940 0.000 3.879
Dy 9.698 0.000 3.879
Dy 0.000 3.879 1.940
Dy 3.879 -1.940 7.759
Dy 3.879 9.698 0.000
Dy 7.759 3.879 5.819
Dy -1.940 7.759 3.879
Dy 5.819 7.759 3.879
Dy 0.000 3.879 9.698
Dy 3.879 5.819 7.759
As 0.000 0.000 0.000
As 3.879 3.879 -3.879
As 3.879 -3.879 3.879
As 7.759 0.000 0.000
As 11.638 1.940 0.000
As 7.759 -3.879 5.819
As 5.819 7.759 -3.879
As 5.819 0.000 3.879
As 3.879 5.819 0.000
As 7.759 3.879 1.940
As -3.879 3.879 3.879
As 0.000 7.759 0.000
As 0.000 0.000 7.759
As 3.879 3.879 3.879
As 0.000 3.879 5.819
As 3.879 1.940 7.759
As 1.940 7.759 3.879
As 1.940 0.000 11.638
As 0.000 11.638 1.940
As -3.879 5.819 7.759
S 2.354 -0.309 0.978
S 9.284 4.858 -4.189
S 10.112 0.309 0.978
S 9.284 -2.901 4.189
S 7.449 -0.978 2.354
S 11.947 -1.526 2.901
S 0.978 2.354 -0.309
S 10.659 3.570 -1.526
S 4.858 4.189 -1.526
S 6.780 2.354 0.309
S -0.309 0.978 2.354
S 4.189 -1.526 4.858
S 7.449 6.780 -2.354
S 4.189 1.526 2.901
S 4.858 -4.189 9.284
S 6.780 -2.354 7.449
S 2.901 4.189 1.526
S 8.737 5.405 0.309
S 4.189 9.284 -2.901
S 7.449 0.978 5.405
S 2.354 7.449 -0.978
S 9.284 2.901 3.570
S 1.526 2.901 4.189
S 2.354 0.309 6.780
S 5.405 7.449 0.978
S 6.233 4.858 3.570
S -1.526 4.858 4.189
S 5.405 0.309 8.737
S 0.309 6.780 2.354
S 3.570 -1.526 10.659
S -0.978 2.354 7.449
S 4.858 3.570 6.233
S 0.978 10.112 0.309
S 2.901 11.947 -1.526
S 3.570 6.233 4.858
S 0.309 0.978 10.112
S 3.570 9.284 2.901
S 8.068 6.780 5.405
S 0.978 5.405 7.449
S 2.901 3.570 9.284
S -2.901 4.189 9.284
S 6.780 5.405 8.068
S -4.189 9.284 4.858
S 0.309 8.737 5.405
S -1.526 10.659 3.570
S -2.354 7.449 6.780
S -1.526 2.901 11.947
S 5.405 8.068 6.780


20
Lattice="5.292 -6.620 0.000 5.292 6.620 0.000 0.000 0.000 6.665" Properties=species:S:1:pos:R:3 comment="Dy3AsS6 | Alexandria via LeMat-Bulk | PBE | optimized geometry" volume_a3_per_atom=23.3 e_form_raw_ev_per_fu=-15.467 e_tot_ev_per_atom=-5.87 pbc="T T T"
Dy 5.292 5.330 3.332
Dy 3.356 1.325 2.713
Dy 3.356 -1.325 6.046
Dy 7.228 1.325 2.713
Dy 7.228 -1.325 6.046
Dy 5.292 -5.330 0.000
As 5.292 2.365 5.891
As 5.292 -2.365 2.559
S 3.594 3.445 4.722
S 1.741 0.371 4.700
S 1.741 -0.371 1.368
S 5.292 3.067 1.679
S 6.989 3.445 4.722
S 5.292 0.186 4.319
S 5.292 -0.186 0.986
S 3.594 -3.445 1.390
S 5.292 -3.067 5.011
S 8.843 0.371 4.700
S 8.843 -0.371 1.368
S 6.989 -3.445 1.390


14
Lattice="3.948 2.279 6.538 -3.948 2.279 6.538 0.000 -4.558 6.538" Properties=species:S:1:pos:R:3 comment="Dy3AsS3 | Alexandria via LeMat-Bulk | PBE | optimized geometry" volume_a3_per_atom=25.2 e_form_raw_ev_per_fu=-12.552 e_tot_ev_per_atom=-6.20 pbc="T T T"
Dy -3.033 -0.093 8.108
Dy -1.436 -2.673 11.506
Dy 1.597 -2.580 8.108
Dy -1.597 2.580 11.506
Dy 1.436 2.673 8.108
Dy 3.033 0.093 11.506
As 0.000 0.000 3.271
As 0.000 0.000 16.343
S -0.979 -1.919 7.681
S -2.152 -0.112 11.934
S -1.173 1.807 7.681
S 1.173 -1.807 11.934
S 2.152 0.112 7.681
S 0.979 1.919 11.934


12
Lattice="4.061 0.000 0.000 0.000 5.741 0.000 0.000 0.000 12.118" Properties=species:S:1:pos:R:3 comment="Dy3As2S | Alexandria via LeMat-Bulk | PBE | optimized geometry" volume_a3_per_atom=23.5 dos_at_fermi_per_ev_fu=1.409 e_form_raw_ev_per_fu=-10.365 e_tot_ev_per_atom=-6.27 pbc="T T T"
Dy 0.000 0.000 0.000
Dy 0.000 0.000 4.049
Dy 0.000 0.000 8.069
Dy 2.030 2.871 2.010
Dy 2.030 2.871 6.059
Dy 2.030 2.871 10.108
As 0.000 2.871 4.036
As 0.000 2.871 8.082
As 2.030 0.000 2.023
As 2.030 0.000 10.095
S 0.000 2.871 0.000
S 2.030 0.000 6.059


22
Lattice="1.946 -6.380 0.000 1.946 6.380 0.000 0.000 0.000 19.934" Properties=species:S:1:pos:R:3 comment="Dy6AsS4 | Alexandria via LeMat-Bulk | PBE | optimized geometry" volume_a3_per_atom=22.5 dos_at_fermi_per_ev_fu=7.384 e_form_raw_ev_per_fu=-18.816 e_tot_ev_per_atom=-6.14 pbc="T T T"
Dy 0.000 0.000 0.000
Dy 0.000 0.000 9.967
Dy 1.946 4.326 14.950
Dy 1.946 2.866 1.780
Dy 1.946 2.866 8.187
Dy 1.946 0.699 13.241
Dy 1.946 0.699 16.660
Dy 1.946 -0.699 3.274
Dy 1.946 -0.699 6.693
Dy 1.946 -2.866 11.747
Dy 1.946 -2.866 18.154
Dy 1.946 -4.326 4.983
As 1.946 4.182 4.983
As 1.946 -4.182 14.950
S 1.946 5.301 12.452
S 1.946 5.301 17.449
S 1.946 1.800 10.736
S 1.946 1.800 19.165
S 1.946 -1.800 0.769
S 1.946 -1.800 9.198
S 1.946 -5.301 2.485
S 1.946 -5.301 7.482


26
Lattice="6.399 -1.944 0.000 6.399 1.944 0.000 -0.589 0.000 23.348" Properties=species:S:1:pos:R:3 comment="Dy7AsS5 | Alexandria via LeMat-Bulk | PBE | optimized geometry" volume_a3_per_atom=22.3 dos_at_fermi_per_ev_fu=6.423 e_form_raw_ev_per_fu=-22.847 e_tot_ev_per_atom=-6.18 pbc="T T T"
Dy 0.000 0.000 0.000
Dy -0.260 0.000 13.417
Dy 1.263 0.000 6.660
Dy 1.717 0.000 18.429
Dy 3.238 0.000 11.675
Dy 3.574 0.000 1.741
Dy 5.189 0.000 20.059
Dy 5.435 0.000 16.670
Dy 6.731 0.000 9.869
Dy 7.072 0.000 3.406
Dy 8.712 0.000 21.680
Dy 9.046 0.000 15.223
Dy 10.342 0.000 8.422
Dy 10.593 0.000 5.031
As 5.555 0.000 6.962
As 10.224 0.000 18.133
S 0.544 0.000 20.885
S 0.838 0.000 15.886
S 2.141 0.000 9.204
S 2.441 0.000 4.204
S 4.069 0.000 22.551
S 4.340 0.000 14.194
S 8.186 0.000 0.869
S 7.888 0.000 12.546
S 11.436 0.000 10.897
S 11.713 0.000 2.537


12
Lattice="17.009 0.000 0.000 0.000 3.827 0.000 0.000 0.000 3.861" Properties=species:S:1:pos:R:3 comment="DyAsS | Alexandria via LeMat-Bulk | PBE | optimized geometry" volume_a3_per_atom=20.9 dos_at_fermi_per_ev_fu=0.007 e_form_raw_ev_per_fu=-4.703 e_tot_ev_per_atom=-6.03 pbc="T T T"
Dy 2.486 0.957 0.912
Dy 6.019 2.870 2.843
Dy 10.990 0.957 1.018
Dy 14.523 2.870 2.949
As 0.025 0.957 2.770
As 8.479 2.870 0.839
As 8.529 0.957 3.022
As 16.984 2.870 1.091
S 3.181 2.870 2.852
S 5.324 0.957 0.922
S 11.685 2.870 2.940
S 13.828 0.957 1.009


12
Lattice="3.540 -6.127 0.000 3.540 6.127 0.000 -2.357 0.000 6.678" Properties=species:S:1:pos:R:3 comment="Dy6As5S | Alexandria via LeMat-Bulk | PBE | optimized geometry" volume_a3_per_atom=24.1 dos_at_fermi_per_ev_fu=2.519 e_form_raw_ev_per_fu=-19.735 e_tot_ev_per_atom=-6.23 pbc="T T T"
Dy 0.001 2.041 5.008
Dy 1.179 0.000 1.663
Dy 0.001 -2.041 5.008
Dy 4.721 2.041 1.670
Dy 3.543 0.000 5.016
Dy 4.721 -2.041 1.670
As 3.540 4.082 0.000
As 2.361 2.043 3.339
As 3.540 0.000 0.000
As 2.361 -2.043 3.339
As 3.540 -4.082 0.000
S -1.179 0.000 3.339


15
Lattice="10.012 0.000 0.000 -5.006 8.671 0.000 0.000 0.000 3.972" Properties=species:S:1:pos:R:3 comment="Dy8AsS6 | Alexandria via LeMat-Bulk | PBE | optimized geometry" volume_a3_per_atom=23.0 dos_at_fermi_per_ev_fu=6.704 e_form_raw_ev_per_fu=-23.091 e_tot_ev_per_atom=-5.95 pbc="T T T"
Dy -1.308 2.829 1.023
Dy -1.902 8.389 1.023
Dy 1.796 2.548 2.949
Dy 0.000 5.780 2.968
Dy 5.006 2.890 1.004
Dy 3.210 6.123 1.023
Dy 6.908 0.281 2.949
Dy 6.314 5.841 2.949
As 0.000 0.000 1.986
S -1.928 5.655 0.981
S 1.072 4.174 0.981
S 4.150 1.158 2.991
S 0.856 7.512 0.981
S 3.934 4.497 2.991
S 6.934 3.015 2.991


Repeat the ninth record exactly.
26
Lattice="6.399 -1.944 0.000 6.399 1.944 0.000 -0.589 0.000 23.348" Properties=species:S:1:pos:R:3 comment="Dy7AsS5 | Alexandria via LeMat-Bulk | PBE | optimized geometry" volume_a3_per_atom=22.3 dos_at_fermi_per_ev_fu=6.423 e_form_raw_ev_per_fu=-22.847 e_tot_ev_per_atom=-6.18 pbc="T T T"
Dy 0.000 0.000 0.000
Dy -0.260 0.000 13.417
Dy 1.263 0.000 6.660
Dy 1.717 0.000 18.429
Dy 3.238 0.000 11.675
Dy 3.574 0.000 1.741
Dy 5.189 0.000 20.059
Dy 5.435 0.000 16.670
Dy 6.731 0.000 9.869
Dy 7.072 0.000 3.406
Dy 8.712 0.000 21.680
Dy 9.046 0.000 15.223
Dy 10.342 0.000 8.422
Dy 10.593 0.000 5.031
As 5.555 0.000 6.962
As 10.224 0.000 18.133
S 0.544 0.000 20.885
S 0.838 0.000 15.886
S 2.141 0.000 9.204
S 2.441 0.000 4.204
S 4.069 0.000 22.551
S 4.340 0.000 14.194
S 8.186 0.000 0.869
S 7.888 0.000 12.546
S 11.436 0.000 10.897
S 11.713 0.000 2.537